Record 1
Entry from Alexandria: crystalline LaNd6Tl4 at its relaxed geometry (GGA-PBE).

Lattice parameters (Å, degrees): 8.058 8.058 12.039 90.00 90.00 90.00
Space group I-42m (No. 121)
Inequivalent atoms, fractional coordinates:
1 La 0.000 0.000 0.000 x2
2 Nd 0.000 0.500 0.000 x4
3 Nd 0.188 0.188 0.715 x8
4 Tl 0.166 0.166 0.432 x8

Results
size of the total moment: 0.002 Bohr magnetons per cell
final energy: -4.0021 eV/atom
density: 7.74 Mg/m³

=====

Record 2
Entry from Alexandria: crystalline LaNd2Tl9 at its relaxed geometry (GGA-PBE).

Lattice parameters (Å, degrees): 4.855 4.855 14.556 90.00 90.00 90.00
Space group P4/mmm (No. 123)
Inequivalent atoms, fractional coordinates:
1 La 0.000 0.000 0.000 x1
2 Nd 0.000 0.000 0.335 x2
3 Tl 0.000 0.500 0.169 x4
4 Tl 0.000 0.500 0.500 x2
5 Tl 0.500 0.500 0.000 x1
6 Tl 0.500 0.500 0.334 x2

Results
size of the total moment: 0.000 Bohr magnetons per cell
final energy: -3.3129 eV/atom
density: 10.97 Mg/m³

=====

Record 3
Entry from Alexandria: crystalline LaNd4Tl at its relaxed geometry (GGA-PBE).

Lattice parameters (Å, degrees): 3.723 3.723 14.697 90.00 90.00 90.00
Space group P4/mmm (No. 123)
Inequivalent atoms, fractional coordinates:
1 La 0.000 0.000 0.000 x1
2 Nd 0.000 0.000 0.355 x2
3 Nd 0.500 0.500 0.179 x2
4 Tl 0.500 0.500 0.500 x1

Results
size of the total moment: 0.000 Bohr magnetons per cell
ΔE to the lowest computed polymorph: 0 meV/atom
density: 7.50 Mg/m³

=====

Record 4
Entry from Alexandria: crystalline La2Nd7TmTl2 at its relaxed geometry (GGA-PBE).

Lattice parameters (Å, degrees): 4.842 4.842 35.174 90.00 90.00 90.00
Space group I4/mmm (No. 139)
Inequivalent atoms, fractional coordinates:
1 La 0.000 0.000 0.168 x4
2 Nd 0.000 0.000 0.000 x2
3 Nd 0.000 0.000 0.270 x4
4 Nd 0.000 0.500 0.077 x8
5 Tm 0.000 0.000 0.500 x2
6 Tl 0.000 0.000 0.358 x4

Results
size of the total moment: 1.647 Bohr magnetons per cell
final energy: -4.4021 eV/atom
density: 7.51 Mg/m³

=====

Record 5
Entry from Alexandria: crystalline LaNd2TmTl4 at its relaxed geometry (GGA-PBE).

Lattice parameters (Å, degrees): 5.4959 5.4959 27.1325 90.00 90.00 120.00
Space group R-3m (No. 166, hexagonal axes)
Inequivalent atoms, fractional coordinates:
1 La 0.0000 0.0000 0.0000 x3
2 Nd 0.0000 0.0000 0.2484 x6
3 Tm 0.0000 0.0000 0.5000 x3
4 Tl 0.0000 0.0000 0.1271 x6
5 Tl 0.0000 0.0000 0.3776 x6

Results
size of the total moment: 0.000 Bohr magnetons per cell
final energy: -3.9128 eV/atom
density: 9.92 Mg/m³

=====

Record 6
Entry from Alexandria: crystalline LaNd2TmTl2 at its relaxed geometry (GGA-PBE).

Lattice parameters (Å, degrees): 5.234 10.263 6.989 90.00 90.00 90.00
Space group Pmc2_1 (No. 26)
Inequivalent atoms, fractional coordinates:
1 La 0.000 0.045 0.000 x2
2 Nd 0.000 0.319 0.376 x2
3 Nd 0.500 0.452 0.096 x2
4 Tm 0.500 0.193 0.716 x2
5 Tl 0.000 0.358 0.838 x2
6 Tl 0.500 0.128 0.268 x2

Results
size of the total moment: 0.004 Bohr magnetons per cell
final energy: -4.2123 eV/atom
density: 8.89 Mg/m³

=====

Record 7
Entry from Alexandria: crystalline La2NdYTl2 at its relaxed geometry (GGA-PBE).

Lattice parameters (Å, degrees): 5.204 10.374 7.002 90.00 90.00 90.00
Space group Pmc2_1 (No. 26)
Inequivalent atoms, fractional coordinates:
1 La 0.000 0.061 0.000 x2
2 La 0.500 0.176 0.229 x2
3 Nd 0.500 0.456 0.874 x2
4 Y 0.000 0.305 0.585 x2
5 Tl 0.000 0.385 0.138 x2
6 Tl 0.500 0.147 0.710 x2

Results
size of the total moment: 0.000 Bohr magnetons per cell
final energy: -4.6025 eV/atom
density: 8.08 Mg/m³

=====

Record 8
Entry from Alexandria: crystalline LaNd2YTl2 at its relaxed geometry (GGA-PBE).

Lattice parameters (Å, degrees): 5.281 10.318 6.937 90.00 90.00 90.00
Space group Pmc2_1 (No. 26)
Inequivalent atoms, fractional coordinates:
1 La 0.000 0.043 0.000 x2
2 Nd 0.000 0.319 0.370 x2
3 Nd 0.500 0.454 0.093 x2
4 Y 0.500 0.190 0.722 x2
5 Tl 0.000 0.359 0.836 x2
6 Tl 0.500 0.132 0.265 x2

Results
size of the total moment: 0.001 Bohr magnetons per cell
final energy: -4.5592 eV/atom
density: 8.13 Mg/m³

=====

Record 9
Entry from Alexandria: crystalline La3Nd3TlZn2 at its relaxed geometry (GGA-PBE).

Lattice parameters (Å, degrees): 8.9511 8.9511 3.9438 90.00 90.00 120.00
Space group P-62m (No. 189)
Inequivalent atoms, fractional coordinates:
1 La 0.0000 0.7033 0.0000 x3
2 Nd 0.0000 0.3857 0.5000 x3
3 Tl 0.0000 0.0000 0.5000 x1
4 Zn 0.3333 0.6667 0.0000 x2

Results
size of the total moment: 0.000 Bohr magnetons per cell
final energy: -3.9277 eV/atom
density: 7.19 Mg/m³

=====

Record 10
Entry from Alexandria: crystalline La2NdTl2Zn2 at its relaxed geometry (GGA-PBE).

Lattice parameters (Å, degrees): 4.7372 4.7372 28.6142 90.00 90.00 120.00
Space group R-3m (No. 166, hexagonal axes)
Inequivalent atoms, fractional coordinates:
1 La 0.0000 0.0000 0.1386 x6
2 Nd 0.0000 0.0000 0.0000 x3
3 Tl 0.0000 0.0000 0.2690 x6
4 Zn 0.0000 0.0000 0.4174 x6

Results
size of the total moment: 0.000 Bohr magnetons per cell
final energy: -3.3599 eV/atom
density: 8.61 Mg/m³

=====

Record 11
Entry from Alexandria: crystalline LaNd2Tl2Zn2 at its relaxed geometry (GGA-PBE).

Lattice parameters (Å, degrees): 4.8360 4.8360 28.5384 90.00 90.00 120.00
Space group R-3m (No. 166, hexagonal axes)
Inequivalent atoms, fractional coordinates:
1 La 0.0000 0.0000 0.0000 x3
2 Nd 0.0000 0.0000 0.1301 x6
3 Tl 0.0000 0.0000 0.2655 x6
4 Zn 0.0000 0.0000 0.4150 x6

Results
size of the total moment: 0.000 Bohr magnetons per cell
final energy: -3.3241 eV/atom
density: 8.33 Mg/m³

=====

Record 12
Entry from Alexandria: crystalline La3Nd4Tm2 at its relaxed geometry (GGA-PBE).

Lattice parameters (Å, degrees): 16.207 11.817 6.538 90.00 96.11 90.00
Space group C2/c (No. 15)
Inequivalent atoms, fractional coordinates:
1 La 0.000 0.038 0.250 x4
2 La 0.059 0.246 0.974 x8
3 Nd 0.103 0.416 0.413 x8
4 Nd 0.245 0.379 0.892 x8
5 Tm 0.171 0.143 0.578 x8

Results
size of the total moment: 0.000 Bohr magnetons per cell
ΔE to the lowest computed polymorph: 15 meV/atom
density: 7.10 Mg/m³